Entry 1:
First-principles (PBE) data for PrH8Ir2Pt after structural relaxation, as listed in the Alexandria database.

The structure belongs to space group R-3 (No. 148, hexagonal axes); the cell edges are 4.7996, 4.7996 and 17.0602 Å and the angles 90.00°, 90.00° and 120.00°. The inequivalent atoms are Pr at (0.0000, 0.0000, 0.0000), H at (0.0000, 0.0000, 0.3173), H at (0.0048, 0.6957, 0.5627), Ir at (0.0000, 0.0000, 0.2224) and Pt at (0.0000, 0.0000, 0.5000).

Entry 2:
First-principles (PBE) data for ZnSi2Rh after structural relaxation, as listed in the Alexandria database.

The uncorrected formation energy comes out at 0.071 eV per atom.

The structure belongs to space group F-43m (No. 216); the cell edges are 6.099, 6.099 and 6.099 Å and the angles 90.00°, 90.00° and 90.00°. The inequivalent atoms are Zn at (0.000, 0.000, 0.000), Si at (0.000, 0.000, 0.500), Si at (0.250, 0.250, 0.250) and Rh at (0.250, 0.250, 0.750).

Entry 3:
First-principles (PBE) data for AcTb2 after structural relaxation, as listed in the Alexandria database.

The value obtained for the formation energy is 49 meV/atom. As for the energy above the most stable polymorph in this dataset: 0.0 kJ/mol of atoms.

The structure belongs to space group P-1 (No. 2); the cell edges are 3.739, 7.400 and 8.228 Å and the angles 103.43°, 103.09° and 90.04°. The inequivalent atoms are Ac at (0.163, 0.084, 0.325), Tb at (0.164, 0.581, 0.329) and Tb at (0.500, 0.266, 0.001).

Entry 4:
First-principles (PBE) data for Sr2Hg2Pb after structural relaxation, as listed in the Alexandria database.

The value obtained for the formation energy is -331 meV/atom. As for the energy above the most stable polymorph in this dataset: 14.8 kJ/mol of atoms.

The structure belongs to space group P4/mbm (No. 127); the cell edges are 9.203, 9.203 and 4.012 Å and the angles 90.00°, 90.00° and 90.00°. The inequivalent atoms are Sr at (0.160, 0.340, 0.000), Hg at (0.135, 0.635, 0.500) and Pb at (0.000, 0.000, 0.000).

Entry 5:
First-principles (PBE) data for PmPr5DyY2 after structural relaxation, as listed in the Alexandria database.

The value obtained for the formation energy is 137 meV/atom.

The structure belongs to space group Cmc2_1 (No. 36); the cell edges are 5.726, 20.664 and 10.789 Å and the angles 90.00°, 90.00° and 90.00°. The inequivalent atoms are Pm at (0.000, 0.201, 0.000), Pr at (0.000, 0.017, 0.012), Pr at (0.000, 0.281, 0.301), Pr at (0.000, 0.295, 0.693), Pr at (0.000, 0.391, 0.016), Pr at (0.000, 0.480, 0.736), Dy at (0.000, 0.409, 0.451), Y at (0.000, 0.111, 0.728) and Y at (0.000, 0.117, 0.308).

Entry 6:
First-principles (PBE) data for CdIn2Pb2 after structural relaxation, as listed in the Alexandria database.

The value obtained for the formation energy is 126 meV/atom. As for the energy above the most stable polymorph in this dataset: 10.4 kJ/mol of atoms.

The structure belongs to space group I4/mmm (No. 139); the cell edges are 4.283, 4.283 and 16.668 Å and the angles 90.00°, 90.00° and 90.00°. The inequivalent atoms are Cd at (0.000, 0.000, 0.000), In at (0.000, 0.500, 0.250) and Pb at (0.000, 0.000, 0.399).

Entry 7:
First-principles (PBE) data for GdPaGaIr after structural relaxation, as listed in the Alexandria database.

The value obtained for the formation energy is -438 meV/atom.

The structure belongs to space group F-43m (No. 216); the cell edges are 7.048, 7.048 and 7.048 Å and the angles 90.00°, 90.00° and 90.00°. The inequivalent atoms are Gd at (0.000, 0.000, 0.000), Pa at (0.000, 0.000, 0.500), Ga at (0.250, 0.250, 0.750) and Ir at (0.250, 0.250, 0.250).

Entry 8:
First-principles (PBE) data for BiPtI after structural relaxation, as listed in the Alexandria database.

The uncorrected formation energy comes out at -0.287 eV per atom. As for the energy above the most stable polymorph in this dataset: 0.0 kJ/mol of atoms.

The structure belongs to space group P2_1/m (No. 11); the cell edges are 5.502, 4.118 and 9.102 Å and the angles 90.00°, 90.16° and 90.00°. The inequivalent atoms are Bi at (0.250, 0.250, 0.061), Pt at (0.249, 0.750, 0.857) and I at (0.248, 0.250, 0.653).

no.,energy (eV per atom),calculated density (g cm⁻³)
1,-4.7453,10.7
2,-4.7964,6.6
3,-4.4070,8.4
4,-1.8662,7.7
5,-4.9939,6.2
6,-2.6354,8.2
7,-9.3046,12.3
8,-4.1105,8.6